# NaAc2Ag | the Alexandria database | PBE | optimized geometry
# - calculated formation energy (eV/atom) = 0.05
# - energy above the most stable polymorph in this dataset (meV per atom) = 66.5
# - crystal system = tetragonal
data_NaAc2Ag
_chemical_formula_sum 'Na1 Ac2 Ag1'
_cell_length_a 5.728
_cell_length_b 5.728
_cell_length_c 4.199
_cell_angle_alpha 90.00
_cell_angle_beta 90.00
_cell_angle_gamma 90.00
_space_group_name_H-M_alt 'P 4/m m m'
_space_group_IT_number 123
_space_group_name_Hall '-P 4 2'
loop_
_atom_site_label
_atom_site_fract_x
_atom_site_fract_y
_atom_site_fract_z
Na1 0.000 0.000 0.000
Ac1 0.000 0.500 0.500
Ag1 0.500 0.500 0.000

---

# Li2TlP | the Alexandria database | PBE | optimized geometry
# - calculated formation energy (eV/atom) = -0.18
# - energy above the most stable polymorph in this dataset (meV per atom) = 157.4
# - crystal system = tetragonal
data_Li2TlP
_chemical_formula_sum 'Li2 Tl1 P1'
_cell_length_a 3.672
_cell_length_b 3.672
_cell_length_c 5.429
_cell_angle_alpha 90.00
_cell_angle_beta 90.00
_cell_angle_gamma 90.00
_space_group_name_H-M_alt 'P 4 m m'
_space_group_IT_number 99
loop_
_space_group_symop_operation_xyz
'x,y,z'
'-y,x,z'
'-x,-y,z'
'y,-x,z'
'-x,y,z'
'y,x,z'
'x,-y,z'
'-y,-x,z'
loop_
_atom_site_label
_atom_site_fract_x
_atom_site_fract_y
_atom_site_fract_z
Li1 0.000 0.000 0.000
Li2 0.500 0.500 0.271
Tl1 0.500 0.500 0.752
P1 0.000 0.000 0.476

---

# AgIO2F | the Alexandria database | PBE | optimized geometry
# - uncorrected formation energy (kJ/mol of atoms) = 38.7
# - crystal system = tetragonal
data_AgIO2F
_chemical_formula_sum 'Ag1 I1 O2 F1'
_cell_length_a 3.907
_cell_length_b 3.907
_cell_length_c 7.312
_cell_angle_alpha 90.00
_cell_angle_beta 90.00
_cell_angle_gamma 90.00
_space_group_name_H-M_alt 'P 4/m m m'
_space_group_IT_number 123
_space_group_name_Hall '-P 4 2'
loop_
_atom_site_label
_atom_site_fract_x
_atom_site_fract_y
_atom_site_fract_z
Ag1 0.000 0.000 0.000
I1 0.000 0.000 0.500
O1 0.000 0.500 0.000
F1 0.500 0.500 0.500

---

# TiNi2BiW | the Alexandria database | PBE | optimized geometry
# - calculated formation energy (eV/atom) = 1.47
# - crystal system = tetragonal
data_TiNi2BiW
_chemical_formula_sum 'Ti1 Ni2 Bi1 W1'
_cell_length_a 4.362
_cell_length_b 4.362
_cell_length_c 5.121
_cell_angle_alpha 90.00
_cell_angle_beta 90.00
_cell_angle_gamma 90.00
_space_group_name_H-M_alt 'P 4/m m m'
_space_group_IT_number 123
_space_group_name_Hall '-P 4 2'
loop_
_atom_site_label
_atom_site_fract_x
_atom_site_fract_y
_atom_site_fract_z
Ti1 0.000 0.000 0.000
Ni1 0.000 0.500 0.000
Bi1 0.000 0.000 0.500
W1 0.500 0.500 0.500

---

# Tb3HoSc2Te6 | the Alexandria database | PBE | optimized geometry
# - uncorrected formation energy (kJ/mol of atoms) = -118.3
# - crystal system = monoclinic
data_Tb3HoSc2Te6
_chemical_formula_sum 'Tb6 Ho2 Sc4 Te12'
_cell_length_a 18.760
_cell_length_b 4.285
_cell_length_c 8.633
_cell_angle_alpha 90.00
_cell_angle_beta 103.56
_cell_angle_gamma 90.00
_space_group_name_H-M_alt 'C 1 2/m 1'
_space_group_IT_number 12
loop_
_space_group_symop_operation_xyz
'x,y,z'
'-x,-y,-z'
'-x,y,-z'
'x,-y,z'
'x+1/2,y+1/2,z'
'-x+1/2,-y+1/2,-z'
'-x+1/2,y+1/2,-z'
'x+1/2,-y+1/2,z'
loop_
_atom_site_label
_atom_site_fract_x
_atom_site_fract_y
_atom_site_fract_z
Tb1 0.000 0.000 0.000
Tb2 0.162 0.500 0.330
Ho1 0.000 0.000 0.500
Sc1 0.166 0.500 0.833
Te1 0.006 0.500 0.751
Te2 0.168 0.000 0.594
Te3 0.171 0.000 0.074

---

# Sm2Cu3Ir | the Alexandria database | PBE | optimized geometry
# - calculated formation energy (eV/atom) = -0.34
# - crystal system = orthorhombic
data_Sm2Cu3Ir
_chemical_formula_sum 'Sm16 Cu24 Ir8'
_cell_length_a 7.519
_cell_length_b 8.617
_cell_length_c 14.604
_cell_angle_alpha 90.00
_cell_angle_beta 90.00
_cell_angle_gamma 90.00
_space_group_name_H-M_alt 'F m m m'
_space_group_IT_number 69
_space_group_name_Hall '-F 2 2'
loop_
_atom_site_label
_atom_site_fract_x
_atom_site_fract_y
_atom_site_fract_z
Sm1 0.243 0.000 0.000
Sm2 0.250 0.250 0.250
Cu1 0.000 0.000 0.335
Cu2 0.000 0.243 0.418
Ir1 0.000 0.000 0.162